No. 1
The following is a SCAN calculation of a PBEsol-optimized structure of Mn2Os, from Alexandria via LeMat-Bulk.

Output
symmetry: C2/m, No. 12
calculated volume: 11.67 A^3/atom
E_form: 0.01 eV per atom
M_tot: 0.0 μB/cell

abc: 2.6049 4.8103 6.0073
angles: 104.33 90.00 105.71
Site moments in Bohr magnetons follow the coordinates.
Positions (direct):
Mn 0.9715 0.9430 0.7087  2.23
Mn 0.3676 0.7352 0.9705  -2.11
Mn 0.6324 0.2648 0.0295  -2.11
Mn 0.0285 0.0570 0.2913  2.23
Os 0.3100 0.6199 0.3545  -0.09
Os 0.6901 0.3801 0.6455  -0.09


No. 2
The following is a SCAN calculation of a PBEsol-optimized structure of Mn3Os, from Alexandria via LeMat-Bulk.

Output
symmetry: Pmm2, No. 25
calculated volume: 11.34 A^3/atom
E_form: 0.00 eV per atom
M_tot: 1.4 μB/cell

abc: 2.5720 4.0266 4.3815
angles: 90.00 90.00 90.00
Site moments in Bohr magnetons follow the coordinates.
Positions (direct):
Mn 0.0000 0.0000 0.9859  2.63
Mn 0.5000 0.0000 0.5103  -1.85
Mn 0.5000 0.5000 0.8365  -2.37
Os 0.0000 0.5000 0.3339  0.24


No. 3
The following is a SCAN calculation of a PBEsol-optimized structure of MnOs, from Alexandria via LeMat-Bulk.

Output
symmetry: P4/nmm, No. 129
calculated volume: 12.27 A^3/atom
E_form: 0.25 eV per atom
M_tot: 0.0 μB/cell

abc: 2.8524 2.8524 6.0298
angles: 90.00 90.00 90.00
Positions (direct):
Mn 0.5000 0.0000 0.9222
Mn 0.0000 0.5000 0.0778
Os 0.5000 0.0000 0.3536
Os 0.0000 0.5000 0.6464


No. 4
The following is a SCAN calculation of a PBEsol-optimized structure of Mn3Os, from Alexandria via LeMat-Bulk.

Output
symmetry: I4/mmm, No. 139
calculated volume: 11.64 A^3/atom
E_form: -0.16 eV per atom
M_tot: 3.0 μB/cell

abc: 3.6103 3.6103 7.5869
angles: 103.76 103.76 90.00
Site moments in Bohr magnetons follow the coordinates.
Positions (direct):
Mn 0.5000 0.0000 0.0000  2.34
Mn 0.8775 0.8775 0.7549  -3.07
Mn 0.1225 0.1225 0.2451  -3.07
Mn 0.2500 0.7500 0.5000  2.40
Mn 0.7500 0.2500 0.5000  2.40
Mn 0.0000 0.5000 0.0000  2.34
Os 0.6262 0.6262 0.2524  -0.18
Os 0.3738 0.3738 0.7476  -0.18


No. 5
The following is a SCAN calculation of a PBEsol-optimized structure of MnOs2, from Alexandria via LeMat-Bulk.

Output
symmetry: Cm, No. 8
calculated volume: 12.91 A^3/atom
E_form: 0.03 eV per atom
M_tot: 2.4 μB/cell

abc: 2.6780 4.9629 6.2167
angles: 102.70 90.00 105.65
Site moments in Bohr magnetons follow the coordinates.
Positions (direct):
Mn 0.0003 0.0006 0.0023  1.43
Mn 0.6660 0.3321 0.3313  1.96
Os 0.3906 0.7811 0.2725  -0.31
Os 0.0574 0.1148 0.6069  -0.21
Os 0.3344 0.6689 0.6686  -0.21
Os 0.7179 0.4358 0.9518  -0.23


No. 6
The following is a SCAN calculation of a PBEsol-optimized structure of MnOs, from Alexandria via LeMat-Bulk.

Output
symmetry: P-3m1, No. 164
calculated volume: 12.39 A^3/atom
E_form: 0.16 eV per atom
M_tot: 0.0 μB/cell

abc: 2.6473 2.6473 8.1631
angles: 90.00 90.00 120.00
Positions (direct):
Mn 0.6667 0.3333 0.1151
Mn 0.3333 0.6667 0.8849
Os 0.6667 0.3333 0.6363
Os 0.3333 0.6667 0.3637


No. 7
The following is a SCAN calculation of a PBEsol-optimized structure of MnOs5, from Alexandria via LeMat-Bulk.

Output
symmetry: Amm2, No. 38
calculated volume: 13.47 A^3/atom
E_form: 0.01 eV per atom
M_tot: 0.0 μB/cell

abc: 2.7101 4.2598 7.1290
angles: 90.00 100.96 90.00
Positions (direct):
Mn 0.0004 0.0000 0.0008
Os 0.2217 0.5000 0.4433
Os 0.3365 0.0000 0.6730
Os 0.5531 0.5000 0.1061
Os 0.6631 0.0000 0.3262
Os 0.8919 0.5000 0.7838


No. 8
The following is a SCAN calculation of a PBEsol-optimized structure of MnOs, from Alexandria via LeMat-Bulk.

Output
symmetry: Pnma, No. 62
calculated volume: 12.23 A^3/atom
E_form: 0.03 eV per atom
M_tot: 0.0 μB/cell

abc: 4.1404 4.5404 5.2047
angles: 90.00 90.00 90.00
Positions (direct):
Mn 0.7500 0.4192 0.8762
Mn 0.2500 0.0808 0.3762
Mn 0.7500 0.9192 0.6238
Mn 0.2500 0.5808 0.1238
Os 0.7500 0.4105 0.3740
Os 0.2500 0.0895 0.8740
Os 0.7500 0.9105 0.1260
Os 0.2500 0.5895 0.6260


No. 9
The following is a SCAN calculation of a PBEsol-optimized structure of Mn3Os, from Alexandria via LeMat-Bulk.

Output
symmetry: P6_3/mmc, No. 194
calculated volume: 11.27 A^3/atom
E_form: 0.10 eV per atom
M_tot: 0.0 μB/cell

abc: 4.0463 5.0724 5.0724
angles: 120.00 90.00 90.00
Positions (direct):
Mn 0.7500 0.1623 0.3246
Mn 0.2500 0.8377 0.6754
Mn 0.7500 0.1623 0.8377
Mn 0.2500 0.8377 0.1623
Mn 0.7500 0.6754 0.8377
Mn 0.2500 0.3246 0.1623
Os 0.7500 0.6667 0.3333
Os 0.2500 0.3333 0.6667


No. 10
The following is a SCAN calculation of a PBEsol-optimized structure of MnOs, from Alexandria via LeMat-Bulk.

Output
symmetry: Cmcm, No. 63
calculated volume: 12.23 A^3/atom
E_form: 0.05 eV per atom
M_tot: 0.0 μB/cell

abc: 2.6358 3.9395 4.8928
angles: 90.00 105.63 90.00
Positions (direct):
Mn 0.9429 0.7500 0.8859
Mn 0.0571 0.2500 0.1141
Os 0.3267 0.2500 0.6534
Os 0.6733 0.7500 0.3466


No. 11
The following is a SCAN calculation of a PBEsol-optimized structure of MnOs, from Alexandria via LeMat-Bulk.

Output
symmetry: C2/m, No. 12
calculated volume: 12.28 A^3/atom
E_form: 0.06 eV per atom
M_tot: 0.0 μB/cell

abc: 2.6433 4.4702 4.8610
angles: 116.19 105.78 90.00
Positions (direct):
Mn 0.3695 0.1992 0.7390
Mn 0.6305 0.8008 0.2610
Os 0.8786 0.7062 0.7571
Os 0.1214 0.2938 0.2429


No. 12
The following is a SCAN calculation of a PBEsol-optimized structure of MnOs2, from Alexandria via LeMat-Bulk.

Output
symmetry: C2/m, No. 12
calculated volume: 12.84 A^3/atom
E_form: 0.03 eV per atom
M_tot: 0.0 μB/cell

abc: 2.6762 4.9605 6.2124
angles: 103.44 90.00 105.65
Positions (direct):
Mn 0.0288 0.0576 0.8072
Mn 0.9712 0.9424 0.1928
Os 0.6365 0.2731 0.5308
Os 0.3124 0.6247 0.8661
Os 0.6876 0.3753 0.1339
Os 0.3635 0.7269 0.4692


- E_form of number 7 (MnOs5)?
  0.01 eV per atom


- Look up the calculated volume of the eighth one.
  12.23 A^3/atom


- What is the formula in the tenth record?
  MnOs


- The lowest E_form belongs to which entry?
  number 4